# BaHoC | Alexandria via LeMat-Bulk | GGA-PBE | relaxed
# DFT formation energy in meV/atom: 29
# Total energy in eV/atom: -5.213
data_BaHoC
_symmetry_space_group_name_H-M 'P m m n'
_symmetry_Int_Tables_number 59
_cell_length_a 3.898
_cell_length_b 5.072
_cell_length_c 9.667
_cell_angle_alpha 90.00
_cell_angle_beta 90.00
_cell_angle_gamma 90.00
loop_
_symmetry_equiv_pos_as_xyz
'x,y,z'
'-x,-y,-z'
'-x+1/2,-y+1/2,z'
'x+1/2,y+1/2,-z'
'x+1/2,-y,-z'
'-x+1/2,y,z'
'-x,y+1/2,-z'
'x,-y+1/2,z'
loop_
_atom_site_label
_atom_site_type_symbol
_atom_site_fract_x
_atom_site_fract_y
_atom_site_fract_z
Ba1 Ba 0.250 0.250 0.190
Ho1 Ho 0.250 0.250 0.560
C1 C 0.250 0.750 0.589